Entry 1:
The following is a DFT calculation (PBE+U) of crystalline V3AgF12 at its relaxed geometry.

Structure (extended XYZ):
```
32
Lattice="-0.813 -3.617 5.062 -9.636 -0.470 -1.884 6.086 -6.709 -3.816" Properties=species:S:1:pos:R:3 pbc="T T T"
V -5.224 -5.613 -2.906
V -6.615 -1.752 -0.371
V -1.957 -2.996 -0.511
V -2.406 -7.800 -0.127
V 2.252 -9.043 -0.267
V 0.861 -5.183 2.268
Ag -5.005 -5.262 1.269
Ag 0.642 -5.534 -1.907
F 4.794 -6.570 -1.981
F -7.140 -6.362 0.140
F -4.535 -5.893 -1.233
F -4.167 -4.253 -3.527
F -2.606 -6.330 0.891
F -6.227 -1.872 -2.156
F -6.596 -3.511 0.138
F -2.195 -7.907 -4.059
F -3.217 -3.416 0.749
F -2.849 -1.777 -1.546
F -3.691 -8.673 -0.958
F 0.907 -7.702 -3.413
F -5.270 -3.094 2.775
F -0.672 -2.123 0.320
F -1.514 -9.019 0.908
F -1.145 -7.379 -1.387
F -2.168 -2.888 3.421
F 2.233 -7.285 -0.776
F 1.864 -8.924 1.518
F -1.757 -4.465 -1.529
F 0.173 -4.903 0.595
F -0.196 -6.543 2.889
F 2.777 -4.434 -0.778
F -9.157 -4.225 1.343
```

Output
total energy: -5.326 eV per atom

Entry 2:
The following is a DFT calculation (PBE+U) of crystalline VAg2F at its relaxed geometry.

Structure (extended XYZ):
```
4
Lattice="0.000 3.263 3.263 3.263 0.000 3.263 3.263 3.263 0.000" Properties=species:S:1:pos:R:3 pbc="T T T"
V 3.263 3.263 3.263
Ag 1.632 1.632 1.632
Ag 4.895 4.895 4.895
F 0.000 0.000 0.000
```

Output
energy above the lowest structure with this stoichiometry: 373 meV per atom

Entry 3:
The following is a DFT calculation (PBE+U) of crystalline VAg2F7 at its relaxed geometry.

Structure (extended XYZ):
```
20
Lattice="-1.010 8.199 -0.677 -4.497 3.968 4.020 4.646 5.041 3.377" Properties=species:S:1:pos:R:3 pbc="T T T"
V 1.375 12.771 2.877
V -2.236 4.437 3.843
Ag -0.786 11.925 6.332
Ag -1.119 9.516 2.460
Ag 0.258 7.692 4.259
Ag -0.075 5.284 0.387
F 0.367 12.821 4.392
F 0.255 8.623 0.668
F -3.468 5.497 3.022
F 1.186 5.697 2.736
F 1.874 8.718 3.212
F 0.452 11.328 2.263
F 3.261 6.070 4.155
F -4.122 11.139 2.564
F -1.313 5.881 4.456
F -2.735 8.491 3.508
F -2.047 11.512 3.983
F 2.607 11.712 3.697
F -1.116 8.585 6.051
F -1.228 4.388 2.327
```

Output
total energy: -4.502 eV per atom

Entry 4:
The following is a DFT calculation (PBE+U) of crystalline VAg3F6 at its relaxed geometry.

Structure (extended XYZ):
```
20
Lattice="6.961 0.069 -0.313 -0.328 6.953 -0.313 0.063 0.067 6.971" Properties=species:S:1:pos:R:3 pbc="T T T"
V 3.348 3.545 3.173
V 0.000 0.000 0.000
Ag 3.066 0.521 5.072
Ag 0.219 5.249 2.787
Ag 5.081 3.096 0.073
Ag 6.477 1.840 3.559
Ag 1.615 3.993 6.272
Ag 3.630 6.568 1.274
F 6.553 5.058 -0.347
F 5.047 0.289 6.562
F -0.096 6.824 4.690
F 3.143 3.702 1.204
F 3.613 1.580 3.077
F 1.391 3.353 3.451
F 0.143 2.031 6.693
F 1.649 6.800 -0.217
F 6.792 0.265 1.656
F 3.553 3.387 5.141
F 3.083 5.509 3.269
F 5.304 3.736 2.895
```

Output
energy above the lowest structure with this stoichiometry: 0 meV per atom

Entry 5:
The following is a DFT calculation (PBE+U) of crystalline V2Ag2F at its relaxed geometry.

Structure (extended XYZ):
```
10
Lattice="5.975 0.000 0.000 0.000 5.975 0.000 0.000 0.000 5.019" Properties=species:S:1:pos:R:3 pbc="T T T"
V 1.898 4.885 0.000
V 4.885 4.077 0.000
V 4.077 1.089 0.000
V 1.089 1.898 0.000
Ag 0.940 3.927 2.509
Ag 3.927 5.034 2.509
Ag 5.034 2.047 2.509
Ag 2.047 0.940 2.509
F 0.000 0.000 0.000
F 2.987 2.987 0.000
```

Output
energy above the lowest structure with this stoichiometry: 0 meV per atom

Entry 6:
The following is a DFT calculation (PBE+U) of crystalline VAgF5 at its relaxed geometry.

Structure (extended XYZ):
```
14
Lattice="-3.879 3.485 -2.312 -0.094 -1.032 -5.610 -6.413 -4.213 -1.591" Properties=species:S:1:pos:R:3 pbc="T T T"
V 0.000 0.000 0.000
V -3.207 -2.106 -0.795
Ag -3.631 0.223 -4.323
Ag -6.755 -1.982 -5.190
F -3.908 1.697 -6.279
F -4.249 -1.964 -5.260
F -6.823 -0.757 -7.328
F -5.407 2.342 -2.776
F -7.661 -3.908 -6.513
F -2.725 2.149 -3.000
F -4.979 -4.102 -6.737
F -3.563 -1.002 -2.184
F -6.136 0.205 -4.253
F -6.478 -3.457 -3.234
```

Output
total energy: -5.049 eV per atom

Entry 7:
The following is a DFT calculation (PBE+U) of crystalline VAg7F12 at its relaxed geometry.

Structure (extended XYZ):
```
20
Lattice="6.140 0.000 2.151 -3.301 6.570 2.862 -0.462 0.000 7.876" Properties=species:S:1:pos:R:3 pbc="T T T"
V 0.000 0.000 0.000
Ag -0.829 2.845 2.667
Ag 1.469 5.574 8.623
Ag -0.203 3.840 6.836
Ag 3.070 0.000 1.076
Ag 2.581 2.730 6.055
Ag 0.909 0.995 4.267
Ag 3.206 3.725 10.223
F 2.920 2.262 3.824
F -2.039 5.411 6.781
F 0.640 0.892 1.537
F 1.329 5.943 5.959
F 2.095 3.421 8.097
F 4.679 1.518 9.515
F -2.302 5.051 3.375
F 0.282 3.149 4.793
F 1.048 0.627 6.931
F 1.737 5.678 11.353
F 4.417 1.159 6.109
F -0.542 4.308 9.066
```

Output
total energy: -3.898 eV per atom

Entry 8:
The following is a DFT calculation (PBE+U) of crystalline VAgF3 at its relaxed geometry.

Structure (extended XYZ):
```
5
Lattice="4.400 0.000 0.000 0.000 4.400 0.000 0.000 0.000 4.400" Properties=species:S:1:pos:R:3 pbc="T T T"
V 2.200 2.200 2.200
Ag 0.000 0.000 0.000
F 0.000 2.200 0.000
F 0.000 0.000 2.200
F 2.200 0.000 0.000
```

Output
energy above the lowest structure with this stoichiometry: 1181 meV per atom

Entry 9:
The following is a DFT calculation (PBE+U) of crystalline VAg2F5 at its relaxed geometry.

Structure (extended XYZ):
```
8
Lattice="-2.368 -1.050 -3.070 -1.785 -3.231 5.036 -4.590 1.909 2.745" Properties=species:S:1:pos:R:3 pbc="T T T"
V -4.791 1.641 2.446
Ag -3.881 -1.227 0.167
Ag -5.266 -1.678 3.945
F -5.975 1.115 0.911
F -1.486 -1.045 0.958
F -7.661 -1.862 3.155
F -5.270 -2.821 1.786
F -3.875 -0.086 2.327
```

Output
energy above the lowest structure with this stoichiometry: 0 meV per atom

Entry 10:
The following is a DFT calculation (PBE+U) of crystalline VAg3F6 at its relaxed geometry.

Structure (extended XYZ):
```
10
Lattice="0.902 0.293 6.021 -3.778 3.267 3.492 -3.843 -2.820 3.798" Properties=species:S:1:pos:R:3 pbc="T T T"
V 0.000 0.000 0.000
Ag -1.680 0.185 3.328
Ag -5.039 0.555 9.983
Ag -3.360 0.370 6.656
F -3.590 1.961 4.918
F -3.129 -1.221 8.393
F -3.625 -1.382 5.086
F -3.094 2.122 8.225
F -1.019 0.328 6.307
F -5.700 0.413 7.004
```

Output
energy above the lowest structure with this stoichiometry: 171 meV per atom

Entry 11:
The following is a DFT calculation (PBE+U) of crystalline VAg3F7 at its relaxed geometry.

Structure (extended XYZ):
```
11
Lattice="4.983 0.122 2.557 -1.027 4.877 2.557 -0.153 -0.193 6.342" Properties=species:S:1:pos:R:3 pbc="T T T"
V 3.784 4.782 5.132
Ag 3.464 1.105 5.775
Ag 1.845 2.332 8.240
Ag 0.279 3.625 5.775
F 0.425 0.538 1.684
F 3.069 0.627 2.989
F -0.423 1.384 5.502
F -0.096 3.131 2.989
F 2.625 3.317 6.107
F 1.444 -0.094 5.502
F 3.053 3.858 9.808
```

Output
total energy: -4.387 eV per atom

Entry 12:
The following is a DFT calculation (PBE+U) of crystalline V2Ag2F at its relaxed geometry.

Structure (extended XYZ):
```
5
Lattice="-2.621 1.392 2.256 -2.650 -1.468 -2.172 -2.484 -6.210 4.027" Properties=species:S:1:pos:R:3 pbc="T T T"
V -2.607 -1.202 0.794
V -5.148 -5.083 3.318
Ag -3.870 -2.427 3.163
Ag -3.885 -3.858 0.949
F 0.000 0.000 0.000
```

Output
energy above the lowest structure with this stoichiometry: 387 meV per atom